# LaYTh2P4

A geometry-optimized LaYTh2P4 structure (PBE, Alexandria via LeMat-Bulk).

The structure in CIF format:
```
data_LaYTh2P4
_chemical_formula_sum 'La1 Y1 Th2 P4'
_cell_length_a 7.1621
_cell_length_b 4.1512
_cell_length_c 7.1880
_cell_angle_alpha 90.00
_cell_angle_beta 109.59
_cell_angle_gamma 90.00
_space_group_name_H-M_alt 'P 1'
_space_group_IT_number 1
_space_group_name_Hall 'P 1'
loop_
_atom_site_label
_atom_site_type_symbol
_atom_site_fract_x
_atom_site_fract_y
_atom_site_fract_z
La1 La 0.0000 0.0000 0.0000
Y1 Y 0.0000 0.5000 0.5000
Th1 Th 0.5000 0.0000 0.5000
Th2 Th 0.5000 0.5000 0.0000
P1 P 0.2496 0.0000 0.7444
P2 P 0.2543 0.5000 0.2569
P3 P 0.7457 0.5000 0.7431
P4 P 0.7504 0.0000 0.2556
```

DFT formation energy in meV per atom: -1577

# LaY2ThP4

A geometry-optimized LaY2ThP4 structure (PBE, Alexandria via LeMat-Bulk).

The structure in CIF format:
```
data_LaY2ThP4
_chemical_formula_sum 'La1 Y2 Th1 P4'
_cell_length_a 7.0892
_cell_length_b 4.1156
_cell_length_c 7.1335
_cell_angle_alpha 90.00
_cell_angle_beta 109.50
_cell_angle_gamma 90.00
_space_group_name_H-M_alt 'P 1'
_space_group_IT_number 1
_space_group_name_Hall 'P 1'
loop_
_atom_site_label
_atom_site_type_symbol
_atom_site_fract_x
_atom_site_fract_y
_atom_site_fract_z
La1 La 0.0000 0.0000 0.0000
Y1 Y 0.5000 0.0000 0.5000
Y2 Y 0.5000 0.5000 0.0000
Th1 Th 0.0000 0.5000 0.5000
P1 P 0.2577 0.0000 0.7485
P2 P 0.2600 0.5000 0.2581
P3 P 0.7400 0.5000 0.7419
P4 P 0.7423 0.0000 0.2515
```

DFT formation energy in meV per atom: -1610

# LaTi3P

A geometry-optimized LaTi3P structure (PBE, Alexandria via LeMat-Bulk).

The structure in CIF format:
```
data_LaTi3P
_chemical_formula_sum 'La1 Ti3 P1'
_cell_length_a 4.7360
_cell_length_b 4.7360
_cell_length_c 4.7360
_cell_angle_alpha 90.00
_cell_angle_beta 90.00
_cell_angle_gamma 90.00
_space_group_name_H-M_alt 'P 1'
_space_group_IT_number 1
_space_group_name_Hall 'P 1'
loop_
_atom_site_label
_atom_site_type_symbol
_atom_site_fract_x
_atom_site_fract_y
_atom_site_fract_z
La1 La 0.0000 0.0000 0.0000
Ti1 Ti 0.0000 0.5000 0.5000
Ti2 Ti 0.5000 0.0000 0.5000
Ti3 Ti 0.5000 0.5000 0.0000
P1 P 0.5000 0.5000 0.5000
```

Distance to the lowest polymorph of the same formula in eV per atom: 0.000
DFT formation energy in meV per atom: -203

# LaTiP2

A geometry-optimized LaTiP2 structure (PBE, Alexandria via LeMat-Bulk).

The structure in CIF format:
```
data_LaTiP2
_chemical_formula_sum 'La2 Ti2 P4'
_cell_length_a 7.3254
_cell_length_b 7.3254
_cell_length_c 7.3254
_cell_angle_alpha 130.71
_cell_angle_beta 130.71
_cell_angle_gamma 72.27
_space_group_name_H-M_alt 'P 1'
_space_group_IT_number 1
_space_group_name_Hall 'P 1'
loop_
_atom_site_label
_atom_site_type_symbol
_atom_site_fract_x
_atom_site_fract_y
_atom_site_fract_z
La1 La 0.0000 0.0000 0.0000
La2 La 0.7500 0.2500 0.5000
Ti1 Ti 0.2500 0.7500 0.5000
Ti2 Ti 0.5000 0.5000 0.0000
P1 P 0.1914 0.6250 0.0664
P2 P 0.3750 0.4414 0.5664
P3 P 0.5586 0.1250 0.9336
P4 P 0.8750 0.8086 0.4336
```

Distance to the lowest polymorph of the same formula in eV per atom: 0.482
DFT formation energy in meV per atom: -768

Q: Which E_tot values were calculated for the entries above? A: -7.561 -7.474 -7.008 -6.679, in eV/atom.